An optimized crystal structure of CsNaLi2C, computed with PBE.

As for the density of states at the Fermi level: 0.064 states/eV per cell. The value obtained for the mass density is 2.74 g/cm³. The raw total energy comes out at -2.4001 eV/atom. The energy of formation is 645 meV per atom.

Cell: 4.6310 4.6310 5.1280 Å, 90.00 90.00 90.00°
Closest atoms and distances in Å follow each position.
Space group P4/mmm (No. 123)
One atom of each set of equivalent atoms:
Cs 0.0000 0.0000 0.0000 x1  4 Na 3.27, 8 Li 3.45
Na 0.5000 0.5000 0.0000 x1  2 C 2.56
Li 0.0000 0.5000 0.5000 x2  2 C 2.32
C 0.5000 0.5000 0.5000 x1  4 Li 2.32, 2 Na 2.56